VASP calculation (PBE) on crystalline DyThCuPd at its relaxed geometry.

Cell and atoms, written as POSCAR:
```
DyThCuPd
1.0
0.000 3.561 3.561
3.561 0.000 3.561
3.561 3.561 0.000
Dy Th Cu Pd
1 1 1 1
direct
0.000 0.000 0.000 Dy
0.500 0.500 0.500 Th
0.250 0.250 0.250 Cu
0.750 0.750 0.750 Pd
```

Results
DOS(E_F) ... 1.0610 states/eV/atom
Raw total energy ... -5.764 eV/atom
ΔE to the lowest computed polymorph ... 0.27 eV per formula unit
Density ... 10.38 g/cm³
Spin magnetization ... 0.00 μB per formula unit
Energy of formation ... -0.436 eV/atom